[1]
K3TiCo | SCAN | PBEsol geometry

The structure in POSCAR format:
```
K3TiCo
1.0
6.0457 0.0000 0.0000
0.0000 6.0457 0.0000
0.0000 0.0000 6.0457
K Ti Co
3 1 1
Direct
0.0000 0.0000 0.5000
0.0000 0.5000 0.0000
0.5000 0.0000 0.0000
0.5000 0.5000 0.5000
0.0000 0.0000 0.0000
```

Summary:
D(E_F) = 5.9 states/eV per cell
Calculated formation energy = 5.947 eV per formula unit
Magnetization = 5.63 μB per formula unit
Energy = -10.475 eV per atom
Mass density = 1.7 Mg/m³


[2]
MnBe4Ni | SCAN | PBEsol geometry

The structure in POSCAR format:
```
MnBe4Ni
1.0
0.0000 2.9669 2.9669
2.9669 0.0000 2.9669
2.9669 2.9669 0.0000
Mn Be Ni
1 4 1
Direct
0.0000 0.0000 0.0000
0.1245 0.6252 0.6252
0.6252 0.1245 0.6252
0.6252 0.6252 0.1245
0.6252 0.6252 0.6252
0.2500 0.2500 0.2500
```

Summary:
D(E_F) = 1.6 states/eV per cell
Calculated formation energy = -2.052 eV per formula unit
Magnetization = 4.53 μB per formula unit
Energy = -8.982 eV per atom
Mass density = 4.8 Mg/m³


Number 1 is which compound?
K3TiCo


Which of these has the highest mass density?
MnBe4Ni


Look up the calculated formation energy of the first one.
5.947 eV per formula unit